# 1
Here is crystalline PbW at its relaxed geometry from Alexandria via LeMat-Bulk. Energies are from PBE.

The structure in CIF format:
```
data_PbW
_chemical_formula_sum 'Pb4 W4'
_space_group_name_H-M_alt 'I m m a'
_space_group_IT_number 74
_space_group_name_Hall '-I 2b 2'
_cell_length_a 3.276
_cell_length_b 4.906
_cell_length_c 11.692
_cell_angle_alpha 90.00
_cell_angle_beta 90.00
_cell_angle_gamma 90.00
loop_
_atom_site_label
_atom_site_type_symbol
_atom_site_fract_x
_atom_site_fract_y
_atom_site_fract_z
Pb1 Pb 0.000 0.250 0.109
W1 W 0.000 0.250 0.672
```

Values from the calculation:
Energy relative to the lowest polymorph listed for this composition: 0.92 eV per formula unit
Spin magnetization: 0.0 μB per formula unit

***

# 2
Here is crystalline Sc2MoHAu at its relaxed geometry from Alexandria via LeMat-Bulk. Energies are from PBE.

The structure in CIF format:
```
data_Sc2MoHAu
_chemical_formula_sum 'Sc2 Mo1 H1 Au1'
_space_group_name_H-M_alt 'P 4/m m m'
_space_group_IT_number 123
_space_group_name_Hall '-P 4 2'
_cell_length_a 4.607
_cell_length_b 4.607
_cell_length_c 3.618
_cell_angle_alpha 90.00
_cell_angle_beta 90.00
_cell_angle_gamma 90.00
loop_
_atom_site_label
_atom_site_type_symbol
_atom_site_fract_x
_atom_site_fract_y
_atom_site_fract_z
Sc1 Sc 0.000 0.500 0.000
Mo1 Mo 0.000 0.000 0.500
H1 H 0.000 0.000 0.000
Au1 Au 0.500 0.500 0.500
```

Values from the calculation:
Energy relative to the lowest polymorph listed for this composition: 0.00 eV per formula unit
Spin magnetization: 0.0 μB per formula unit

***

# 3
Here is crystalline TcW at its relaxed geometry from Alexandria via LeMat-Bulk. Energies are from PBE.

The structure in CIF format:
```
data_TcW
_chemical_formula_sum 'Tc2 W2'
_space_group_name_H-M_alt 'P 63/m m c'
_space_group_IT_number 194
_space_group_name_Hall '-P 6c 2c'
_cell_length_a 3.9713
_cell_length_b 3.9713
_cell_length_c 5.1934
_cell_angle_alpha 90.00
_cell_angle_beta 90.00
_cell_angle_gamma 120.00
loop_
_atom_site_label
_atom_site_type_symbol
_atom_site_fract_x
_atom_site_fract_y
_atom_site_fract_z
Tc1 Tc 0.0000 0.0000 0.0000
W1 W 0.3333 0.6667 0.2500
```

Values from the calculation:
Energy relative to the lowest polymorph listed for this composition: 1.52 eV per formula unit
Spin magnetization: 0.0 μB per formula unit

***

no.,D(E_F) (states/eV/atom)
1,0.8082
2,0.8526
3,0.8076